The following is a PBE-GGA calculation of crystalline Sm2Er2In3 at its relaxed geometry, from Alexandria.

Energy of formation in eV per atom: -0.3003
Energy above the lowest structure with this stoichiometry in meV per atom: 48.0
Theoretical density in g cm⁻³: 8.27

Lattice parameters (Å, degrees): 4.5606 3.4690 12.6361 90.00 79.60 90.00
Closest atoms and distances in Å follow each position.
Element x y z (fractional)
Sm 0.5708 0.5000 0.8584  1 Er 3.27, 8 In 3.36-3.42, 3 Sm 3.47-3.52
Sm 0.4292 0.5000 0.1416  1 Er 3.27, 8 In 3.36-3.42, 3 Sm 3.47-3.52
Er 0.7022 0.5000 0.5955  4 In 3.19, 1 Sm 3.27, 4 Er 3.29-3.47
Er 0.2978 0.5000 0.4045  4 In 3.19, 1 Sm 3.27, 4 Er 3.29-3.47
In 0.8539 0.0000 0.2922  4 Er 3.19, 4 Sm 3.42, 2 In 3.47
In 0.0000 0.0000 0.0000  8 Sm 3.36, 4 In 3.47-3.63
In 0.1461 0.0000 0.7078  4 Er 3.19, 4 Sm 3.42, 2 In 3.47

***

The following is a PBE-GGA calculation of crystalline CsMgZn2B at its relaxed geometry, from Alexandria.

Energy of formation in eV per atom: 1.8622
Theoretical density in g cm⁻³: 1.36

Lattice parameters (Å, degrees): 6.9684 6.9684 7.5347 90.00 90.00 90.00
Closest atoms and distances in Å follow each position.
Element x y z (fractional)
Cs 0.0000 0.0000 0.0000  4 Zn 3.48, 2 Mg 3.77
Zn 0.0000 0.5000 0.0000  2 Cs 3.48
Zn 0.5000 0.0000 0.0000  2 Cs 3.48
B 0.5000 0.5000 0.5000  4 Mg 4.93, 8 Zn 5.13
Mg 0.0000 0.0000 0.5000  2 Cs 3.77

***

The following is a PBE-GGA calculation of crystalline LaP2RhO at its relaxed geometry, from Alexandria.

Formation energy without anion corrections in eV/atom: 0.56
Energy above the lowest structure with this stoichiometry in meV per atom: 1158.2
Theoretical density in g cm⁻³: 4.19

Lattice parameters (Å, degrees): 5.5749 5.5749 4.0752 90.00 90.00 90.00
Closest atoms and distances in Å follow each position.
Element x y z (fractional)
P 0.0000 0.5000 0.0000  2 La 2.79
P 0.5000 0.0000 0.0000  2 La 2.79
Rh 0.5000 0.5000 0.5000  8 P 3.45
O 0.0000 0.0000 0.5000  2 La 2.04
La 0.0000 0.0000 0.0000  2 O 2.04

***

| no. | V (Å³ per atom) |
| --- | --- |
| 1 | 28.1 |
| 2 | 73.2 |
| 3 | 25.3 |